Density functional theory data (PBE-GGA) for crystalline IO2F3 at its relaxed geometry.

Structure (POSCAR):
```
IO2F3
1.0
5.116 -1.488 1.468
-1.285 5.171 1.468
0.431 0.414 9.841
I O F
2 4 6
Cartesian
5.345 -1.080 8.849 I
-1.083 5.177 3.928 I
1.417 1.653 7.782 O
1.492 1.144 2.862 O
2.770 2.953 9.915 O
2.845 2.444 4.995 O
0.252 3.787 3.928 F
4.010 0.310 8.849 F
-0.465 4.484 10.294 F
0.015 4.946 7.403 F
4.247 -0.849 5.374 F
4.727 -0.387 2.483 F
```

Results
**SG**: No. 15
**Raw formation energy**: -0.641 eV per atom
**Total magnetic moment**: 0.00 μB per atom
**DFT total energy**: -3.49 eV per atom
**DOS(E_F)**: 0.0 states/eV/cell